[1]
The following is a PBE calculation of crystalline Tb4Pm2In at its relaxed geometry, from the Alexandria database.

ρ: 7.791 Mg/m³
energy of formation: -0.321 eV/f.u.
DOS at the Fermi energy: 18.4 states/eV per cell

```
data_Tb4Pm2In
_cell_length_a 6.307
_cell_length_b 10.786
_cell_length_c 6.520
_cell_angle_alpha 90.00
_cell_angle_beta 90.09
_cell_angle_gamma 90.00
_space_group_name_H-M_alt 'P 1'
_space_group_IT_number 1
_space_group_name_Hall 'P 1'
loop_
_atom_site_label
_atom_site_type_symbol
_atom_site_fract_x
_atom_site_fract_y
_atom_site_fract_z
_atom_site_occupancy
Tb1 Tb 0.068 0.154 0.000 1
Tb2 Tb 0.068 0.346 0.500 1
Tb3 Tb 0.401 0.750 0.250 1
Tb4 Tb 0.401 0.750 0.750 1
Tb5 Tb 0.599 0.250 0.250 1
Tb6 Tb 0.599 0.250 0.750 1
Tb7 Tb 0.932 0.654 0.500 1
Tb8 Tb 0.932 0.846 0.000 1
Pm1 Pm 0.245 0.042 0.500 1
Pm2 Pm 0.245 0.458 0.000 1
Pm3 Pm 0.755 0.542 0.000 1
Pm4 Pm 0.755 0.958 0.500 1
In1 In 0.500 0.000 0.000 1
In2 In 0.500 0.500 0.500 1
```


[2]
The following is a PBE calculation of crystalline Tb2Pm3In2 at its relaxed geometry, from the Alexandria database.

ρ: 7.788 Mg/m³
energy of formation: -1.168 eV/f.u.
DOS at the Fermi energy: 8.0 states/eV per cell

```
data_Tb2Pm3In2
_cell_length_a 12.397
_cell_length_b 12.397
_cell_length_c 3.512
_cell_angle_alpha 90.00
_cell_angle_beta 90.00
_cell_angle_gamma 157.16
_space_group_name_H-M_alt 'P 1'
_space_group_IT_number 1
_space_group_name_Hall 'P 1'
loop_
_atom_site_label
_atom_site_type_symbol
_atom_site_fract_x
_atom_site_fract_y
_atom_site_fract_z
_atom_site_occupancy
Tb1 Tb 0.212 0.788 0.000 1
Tb2 Tb 0.788 0.212 0.000 1
Pm1 Pm 0.360 0.640 0.500 1
Pm2 Pm 0.500 0.500 0.500 1
Pm3 Pm 0.640 0.360 0.500 1
In1 In 0.071 0.929 0.000 1
In2 In 0.929 0.071 0.000 1
```